Below is crystalline HfTlCo2Ru at its relaxed geometry, with properties calculated at the PBE-GGA level.

The structure in extended XYZ format:
```
5
Lattice="4.456 0.000 0.000 0.000 4.456 0.000 0.000 0.000 5.428" Properties=species:S:1:pos:R:3 pbc="T T T"
Hf 0.000 0.000 0.000
Tl 0.000 0.000 2.714
Co 0.000 2.228 0.000
Co 2.228 0.000 0.000
Ru 2.228 2.228 2.714
```

Computed properties:
Space group: No. 123
Energy: -27.236 eV/cell
Total moment: 3.6 Bohr magnetons per cell
D(E_F): 1.3166 states/eV per atom